Sm6SbTe3Ir2 after structural relaxation. Source: the Alexandria database, functional PBE.

```
Sm6SbTe3Ir2
1.0
9.646 -2.147 0.000
9.646 2.147 0.000
-2.465 0.000 8.580
Sm Sb Te Ir
6 1 3 2
direct
0.017 0.017 0.256
0.323 0.323 0.435
0.330 0.330 0.876
0.670 0.670 0.124
0.677 0.677 0.565
0.983 0.983 0.744
0.500 0.500 0.000
0.160 0.160 0.840
0.500 0.500 0.500
0.840 0.840 0.160
0.170 0.170 0.340
0.830 0.830 0.660
```

Output
Symmetry   C2/m
Density of states at the Fermi level   4.67 states/eV per cell
Uncorrected energy   -73.095 eV/cell

=====

Ni3P2 after structural relaxation. Source: the Alexandria database, functional PBE.

```
Ni3P2
1.0
2.957 1.707 4.085
-2.957 1.707 4.085
0.000 -3.415 4.085
Ni P
6 4
direct
0.007 0.750 0.493
0.250 0.507 0.993
0.493 0.007 0.750
0.507 0.993 0.250
0.750 0.493 0.007
0.993 0.250 0.507
0.110 0.110 0.110
0.390 0.390 0.390
0.610 0.610 0.610
0.890 0.890 0.890
```

Output
Symmetry   R-3c
Formation energy from the elements   -31.9 kJ per mole of atoms
Density of states at the Fermi level   4.24 states/eV per cell
Uncorrected energy   -59.628 eV/cell

=====

Zr4ZnS8 after structural relaxation. Source: the Alexandria database, functional PBE.

```
Zr4ZnS8
1.0
3.625 2.093 6.388
-3.625 2.093 6.388
0.000 -4.186 6.388
Zr Zn S
4 1 8
direct
0.000 0.000 0.000
0.000 0.500 0.500
0.500 0.000 0.500
0.500 0.500 0.000
0.500 0.500 0.500
0.250 0.250 0.742
0.250 0.742 0.250
0.256 0.256 0.256
0.258 0.750 0.750
0.742 0.250 0.250
0.744 0.744 0.744
0.750 0.258 0.750
0.750 0.750 0.258
```

Output
Symmetry   R-3m
Density of states at the Fermi level   5.66 states/eV per cell
Uncorrected energy   -86.280 eV/cell

=====

InPtSe after structural relaxation. Source: the Alexandria database, functional PBE.

```
InPtSe
1.0
-1.646 1.646 5.578
1.646 -1.646 5.578
1.646 1.646 -5.578
In Pt Se
1 1 1
direct
0.000 0.000 0.000
0.349 0.349 0.000
0.710 0.710 0.000
```

Output
Symmetry   I4mm
Density of states at the Fermi level   2.56 states/eV per cell
Uncorrected energy   -12.109 eV/cell

=====

Cr2Os after structural relaxation. Source: the Alexandria database, functional PBE.

```
Cr2Os
1.0
-1.329 1.843 3.913
1.329 -1.843 3.913
1.329 1.843 -3.913
Cr Os
2 1
direct
0.167 0.167 0.000
0.833 0.833 0.000
0.500 0.500 0.000
```

Output
Symmetry   Immm
Formation energy from the elements   15.3 kJ per mole of atoms
Density of states at the Fermi level   3.39 states/eV per cell
Uncorrected energy   -30.000 eV/cell

=====

Li2CuBi after structural relaxation. Source: the Alexandria database, functional PBE.

```
Li2CuBi
1.0
-3.812 3.812 2.727
3.812 -3.812 2.727
3.812 3.812 -2.727
Li Cu Bi
4 2 2
direct
0.085 0.625 0.960
0.375 0.335 0.460
0.665 0.125 0.040
0.875 0.915 0.540
0.000 0.000 0.000
0.750 0.250 0.500
0.250 0.750 0.500
0.500 0.500 0.000
```

Output
Symmetry   I-42d
Formation energy from the elements   -2.3 kJ per mole of atoms
Density of states at the Fermi level   1.60 states/eV per cell
Uncorrected energy   -23.797 eV/cell

=====

density of states at the Fermi level of number 1 (Sm6SbTe3Ir2)?
4.67 states/eV per cell